{
  "formula": "Sm5DySc2",
  "functional": "PBE",
  "state": "relaxed",
  "lattice_angstrom": [[7.041, 0.000, 0.000], [0.000, 14.084, 0.000], [0.000, 0.000, 4.984]],
  "species": ["Sm", "Sm", "Sm", "Sm", "Sm", "Sm", "Sm", "Sm", "Sm", "Sm", "Dy", "Dy", "Sc", "Sc", "Sc", "Sc"],
  "fractional_positions": [[0.000, 0.000, 0.000], [0.002, 0.251, 0.000], [0.248, 0.624, 0.500], [0.252, 0.124, 0.500], [0.498, 0.751, 0.000], [0.500, 0.500, 0.000], [0.502, 0.249, 0.000], [0.748, 0.876, 0.500], [0.752, 0.376, 0.500], [0.998, 0.749, 0.000], [0.000, 0.500, 0.000], [0.500, 0.000, 0.000], [0.249, 0.876, 0.500], [0.251, 0.376, 0.500], [0.749, 0.624, 0.500], [0.751, 0.124, 0.500]],
  "energy_ev_per_fu": -40.56,
  "formation_energy_mev_per_atom": 38,
  "polymorph_energy_ev_per_fu": 0.00
}


{
  "formula": "RbSr2In2",
  "functional": "PBE",
  "state": "relaxed",
  "lattice_angstrom": [[-2.200, 2.200, 12.965], [2.200, -2.200, 12.965], [2.200, 2.200, -12.965]],
  "species": ["Rb", "Sr", "Sr", "In", "In"],
  "fractional_positions": [[0.000, 0.000, 0.000], [0.356, 0.356, 0.000], [0.644, 0.644, 0.000], [0.250, 0.750, 0.500], [0.750, 0.250, 0.500]],
  "energy_ev_per_fu": -9.93,
  "formation_energy_mev_per_atom": -24,
  "polymorph_energy_ev_per_fu": 0.94
}